MoIr2Pb: relaxed, PBE.

Unit cell a=5.949 b=5.949 c=11.510 alpha=90.00 beta=90.00 gamma=90.00
Space group I-42d (No. 122)
Symmetry-distinct sites (fractional):
1 Mo 0.000 0.000 0.000 [4 per cell]
2 Ir 0.210 0.250 0.125 [8 per cell]
3 Pb 0.000 0.000 0.500 [4 per cell]

Values from the calculation:
The calculation puts the total energy at -115.5 eV per cell. The value obtained for the formation energy is 3.399 eV/f.u.